1.
Below is a geometry-optimized NaSnO2F structure, with properties calculated at the PBE level.

Unit cell a=4.0099 b=4.0099 c=4.2978 alpha=90.00 beta=90.00 gamma=90.00
Space group P4/mmm (No. 123)
Asymmetric unit:
Na 0.0000 0.0000 0.0000
Sn 0.5000 0.5000 0.5000
O 0.0000 0.5000 0.5000
F 0.5000 0.5000 0.0000

Output
Crystal system: tetragonal
Final energy, eV for the cell shown: -26.11


2.
Below is a geometry-optimized NaSnO2F structure, with properties calculated at the PBE level.

Unit cell a=3.8672 b=3.8672 c=8.7572 alpha=90.00 beta=90.00 gamma=90.00
Space group P4/mmm (No. 123)
Asymmetric unit:
Na 0.0000 0.0000 0.0000
Sn 0.0000 0.0000 0.5000
O 0.0000 0.5000 0.5000
F 0.5000 0.5000 0.0000

Output
Crystal system: tetragonal
Final energy, eV for the cell shown: -23.53


3.
Below is a geometry-optimized NaSrOF2 structure, with properties calculated at the PBE level.

Unit cell a=4.7228 b=4.7228 c=4.7557 alpha=90.00 beta=90.00 gamma=90.00
Space group P4/mmm (No. 123)
Asymmetric unit:
Na 0.0000 0.0000 0.0000
Sr 0.5000 0.5000 0.5000
O 0.5000 0.5000 0.0000
F 0.0000 0.5000 0.5000

Output
Crystal system: tetragonal
Final energy, eV for the cell shown: -23.23
Energy above the lowest structure with this stoichiometry, eV per atom: 0.044


Computed ΔE_f (raw), in the same sequence as the records: -1.8006 -1.2832 -2.3063 eV per atom.
Computed volume, in the same sequence as the records: 69.1 131.0 106.1 Å³/cell.